Entry 1:
Compound: TaCo2Ir
Source: the Alexandria database
Functional: PBE
Structure: relaxed

Properties
- ΔH_f (0 K) (eV per atom) = -0.15
- relative energy among the computed polymorphs (meV per atom) = 243
- space-group type = Cm (8)

Unit cell a=4.5970 b=4.5970 c=4.5140 alpha=101.04 beta=101.04 gamma=35.34
Fractional coordinates of all 4 atoms:
Ta (0.0000, 0.0000, 0.0000)
Co (0.4922, 0.4922, 0.4794)
Co (0.7527, 0.7527, 0.2541)
Ir (0.2397, 0.2397, 0.7177)

---

Entry 2:
Compound: Ta2Co4Ir
Source: the Alexandria database
Functional: PBE
Structure: relaxed

Properties
- ΔH_f (0 K) (eV per atom) = -0.03
- space-group type = C2/c (15)

Unit cell a=4.9766 b=4.9766 c=9.0571 alpha=105.86 beta=105.86 gamma=62.03
Fractional coordinates of all 14 atoms:
Ta (0.1598, 0.6859, 0.5098)
Ta (0.3141, 0.8402, 0.9902)
Ta (0.6859, 0.1598, 0.0098)
Ta (0.8402, 0.3141, 0.4902)
Co (0.1041, 0.8959, 0.2500)
Co (0.1147, 0.3505, 0.2648)
Co (0.3505, 0.1147, 0.7648)
Co (0.4635, 0.5365, 0.7500)
Co (0.5365, 0.4635, 0.2500)
Co (0.6495, 0.8853, 0.2352)
Co (0.8853, 0.6495, 0.7352)
Co (0.8959, 0.1041, 0.7500)
Ir (0.0000, 0.5000, 0.0000)
Ir (0.5000, 0.0000, 0.5000)

---

Entry 3:
Compound: Ta2Co3Ir
Source: the Alexandria database
Functional: PBE
Structure: relaxed

Properties
- ΔH_f (0 K) (eV per atom) = 0.06
- space-group type = I4_1/amd (141)

Unit cell a=7.9617 b=7.9617 c=7.9617 alpha=118.22 beta=118.22 gamma=93.11
Fractional coordinates of all 24 atoms:
Ta (0.2731, 0.3361, 0.5630)
Ta (0.2731, 0.7101, 0.9370)
Ta (0.2899, 0.7269, 0.5630)
Ta (0.3361, 0.2731, 0.0630)
Ta (0.6639, 0.7269, 0.9370)
Ta (0.7101, 0.2731, 0.4370)
Ta (0.7269, 0.2899, 0.0630)
Ta (0.7269, 0.6639, 0.4370)
Co (0.0000, 0.5000, 0.5000)
Co (0.1053, 0.3553, 0.2105)
Co (0.1053, 0.8947, 0.7500)
Co (0.3553, 0.1053, 0.7105)
Co (0.3553, 0.6447, 0.2500)
Co (0.5000, 0.0000, 0.0000)
Co (0.5000, 0.5000, 0.0000)
Co (0.5000, 0.5000, 0.5000)
Co (0.6447, 0.3553, 0.7500)
Co (0.6447, 0.8947, 0.2895)
Co (0.8947, 0.1053, 0.2500)
Co (0.8947, 0.6447, 0.7895)
Ir (0.0788, 0.3288, 0.7500)
Ir (0.3288, 0.0788, 0.2500)
Ir (0.6712, 0.9212, 0.7500)
Ir (0.9212, 0.6712, 0.2500)